No. 1
The following is a DFT calculation (PBE) of an optimized crystal structure of KCuRu2.

```
KCuRu2
1.0
2.6543 0.0000 0.0000
0.0000 4.8635 0.0000
0.0000 0.0000 5.2799
Cu K Ru
1 1 2
direct
0.5000 0.0000 0.5000
0.0000 0.5000 0.5000
0.0000 0.0000 0.0000
0.5000 0.5000 0.0000
```

Results
- DFT formation energy: 1100 meV/atom
- ΔE to the lowest computed polymorph: 12.45 kcal/mol of atoms
- SG: Pmmm
- Magnetization: 0.76 μB/cell
- Calculated volume: 68 Å³/cell
- E_tot: -4.8363 eV per atom

---

No. 2
The following is a DFT calculation (PBE) of an optimized crystal structure of KCuRu2.

```
KCuRu2
1.0
2.5779 0.0000 0.0000
0.0000 4.0838 0.0000
0.0000 0.0000 7.5122
Cu K Ru
1 1 2
direct
0.5000 0.5000 0.2499
0.5000 0.5000 0.7499
0.0000 0.0000 0.0921
0.0000 0.0000 0.4076
```

Results
- DFT formation energy: 878 meV/atom
- ΔE to the lowest computed polymorph: 7.34 kcal/mol of atoms
- SG: Pmmm
- Magnetization: 0.00 μB/cell
- Calculated volume: 79 Å³/cell
- E_tot: -5.0581 eV per atom

---

No. 3
The following is a DFT calculation (PBE) of an optimized crystal structure of K3CuRu.

```
K3CuRu
1.0
-1.9461 0.8955 5.8164
0.2306 -6.1099 1.0178
5.8804 0.5359 1.8850
Ru K Cu
1 3 1
direct
0.0000 0.0000 0.0000
0.0000 0.5000 0.0000
0.0000 0.0000 0.5000
0.5000 0.0000 0.0000
0.5000 0.5000 0.5000
```

Results
- DFT formation energy: 1136 meV/atom
- ΔE to the lowest computed polymorph: 0.00 kcal/mol of atoms
- SG: Pm-3m
- Magnetization: 2.00 μB/cell
- Calculated volume: 238 Å³/cell
- E_tot: -2.1970 eV per atom

---

No. 4
The following is a DFT calculation (PBE) of an optimized crystal structure of KCuRu2.

```
KCuRu2
1.0
2.9455 0.0000 0.0000
0.0000 2.9455 0.0000
0.0000 0.0000 8.5021
Cu K Ru
1 1 2
direct
0.0000 0.0000 0.4350
0.5000 0.5000 0.7484
0.0000 0.0000 0.0720
0.5000 0.5000 0.2446
```

Results
- DFT formation energy: 606 meV/atom
- ΔE to the lowest computed polymorph: 1.05 kcal/mol of atoms
- SG: P4mm
- Magnetization: 0.00 μB/cell
- Calculated volume: 74 Å³/cell
- E_tot: -5.3306 eV per atom

---

No. 5
The following is a DFT calculation (PBE) of an optimized crystal structure of KCu2Ru.

```
KCu2Ru
1.0
-0.7101 2.2770 1.4544
-2.5723 -1.0300 0.3566
2.5984 -3.9232 7.4107
Cu K Ru
2 1 1
direct
0.0000 0.0000 0.0087
0.5000 0.5000 0.1829
0.0000 0.0000 0.4983
0.5000 0.5000 0.8101
```

Results
- DFT formation energy: 665 meV/atom
- ΔE to the lowest computed polymorph: 3.02 kcal/mol of atoms
- SG: P4mm
- Magnetization: 1.16 μB/cell
- Calculated volume: 69 Å³/cell
- E_tot: -3.9760 eV per atom

---

No. 6
The following is a DFT calculation (PBE) of an optimized crystal structure of KCu2Ru.

```
KCu2Ru
1.0
4.8957 0.0056 0.0026
4.1925 2.5281 0.0026
1.0256 0.2859 6.1623
Cu K Ru
2 1 1
direct
0.0106 0.0106 0.0317
0.7186 0.7186 0.8187
0.4958 0.4958 0.5139
0.2750 0.2750 0.1357
```

Results
- DFT formation energy: 654 meV/atom
- ΔE to the lowest computed polymorph: 2.76 kcal/mol of atoms
- SG: Cm
- Magnetization: 0.00 μB/cell
- Calculated volume: 76 Å³/cell
- E_tot: -3.9874 eV per atom

---

No. 7
The following is a DFT calculation (PBE) of an optimized crystal structure of KCu2Ru.

```
KCu2Ru
1.0
2.5840 0.0000 0.0000
0.0000 5.2988 0.0000
0.0000 0.0000 5.0545
Cu K Ru
2 1 1
direct
0.0000 0.0000 0.0000
0.5000 0.5000 0.0000
0.5000 0.0000 0.5000
0.0000 0.5000 0.5000
```

Results
- DFT formation energy: 1072 meV/atom
- ΔE to the lowest computed polymorph: 12.39 kcal/mol of atoms
- SG: Pmmm
- Magnetization: 0.07 μB/cell
- Calculated volume: 69 Å³/cell
- E_tot: -3.5697 eV per atom

---

No. 8
The following is a DFT calculation (PBE) of an optimized crystal structure of KCuRu2.

```
KCuRu2
1.0
3.1000 0.0000 0.0000
0.0000 3.1000 0.0000
0.0000 0.0000 7.9957
Cu K Ru
1 1 2
direct
0.5000 0.5000 0.2500
0.5000 0.5000 0.7500
0.0000 0.0000 0.0939
0.0000 0.0000 0.4061
```

Results
- DFT formation energy: 960 meV/atom
- ΔE to the lowest computed polymorph: 9.23 kcal/mol of atoms
- SG: P4/mmm
- Magnetization: 1.18 μB/cell
- Calculated volume: 77 Å³/cell
- E_tot: -4.9759 eV per atom

---

No. 9
The following is a DFT calculation (PBE) of an optimized crystal structure of KCu2Ru.

```
KCu2Ru
1.0
0.0000 3.2804 3.2804
3.2804 0.0000 3.2804
3.2804 3.2804 0.0000
Ru K Cu
1 1 2
direct
0.5000 0.5000 0.5000
0.0000 0.0000 0.0000
0.2500 0.2500 0.2500
0.7500 0.7500 0.7500
```

Results
- DFT formation energy: 1097 meV/atom
- ΔE to the lowest computed polymorph: 12.98 kcal/mol of atoms
- SG: Fm-3m
- Magnetization: 1.03 μB/cell
- Calculated volume: 71 Å³/cell
- E_tot: -3.5444 eV per atom

---

No. 10
The following is a DFT calculation (PBE) of an optimized crystal structure of KCu2Ru.

```
KCu2Ru
1.0
-3.9917 -1.4789 4.1529
0.8298 -4.5554 3.7318
1.1681 5.3480 -2.3241
Cu K Ru
2 1 1
direct
0.9957 0.9957 0.0000
0.7851 0.2851 0.5000
0.5055 0.5055 0.0000
0.2137 0.7137 0.5000
```

Results
- DFT formation energy: 726 meV/atom
- ΔE to the lowest computed polymorph: 4.42 kcal/mol of atoms
- SG: Imm2
- Magnetization: 0.00 μB/cell
- Calculated volume: 69 Å³/cell
- E_tot: -3.9155 eV per atom

---

No. 11
The following is a DFT calculation (PBE) of an optimized crystal structure of KCu2Ru.

```
KCu2Ru
1.0
-0.6154 -2.9841 4.0137
3.2883 -3.3040 -1.9143
1.9341 1.2253 1.2075
Cu K Ru
2 1 1
direct
0.0000 0.0000 0.0000
0.5000 0.5000 0.0000
0.5000 0.0000 0.5000
0.0000 0.5000 0.5000
```

Results
- DFT formation energy: 732 meV/atom
- ΔE to the lowest computed polymorph: 4.56 kcal/mol of atoms
- SG: Cmmm
- Magnetization: 0.00 μB/cell
- Calculated volume: 66 Å³/cell
- E_tot: -3.9095 eV per atom

---

No. 12
The following is a DFT calculation (PBE) of an optimized crystal structure of KCuRu2.

```
KCuRu2
1.0
-0.0093 -3.1007 3.1363
-1.8460 -3.8076 1.2433
4.9004 -3.9823 -3.2675
Cu K Ru
1 1 2
direct
0.4851 0.4851 0.5866
0.2471 0.2471 0.2518
0.0134 0.0134 0.8944
0.7544 0.7544 0.7672
```

Results
- DFT formation energy: 654 meV/atom
- ΔE to the lowest computed polymorph: 2.16 kcal/mol of atoms
- SG: Cm
- Magnetization: 0.00 μB/cell
- Calculated volume: 81 Å³/cell
- E_tot: -5.2826 eV per atom

---

- Which of these has the lowest calculated volume?
  number 11

---

- What is the DFT formation energy in the second record?
  878 meV/atom

---

- Look up the calculated volume of the twelfth one.
  81 Å³/cell

---

- The highest DFT formation energy belongs to which entry?
  K3CuRu